Arrangement i

The following is a DFT calculation (PBE) of a geometry-optimized PmNdAu structure.

The calculation puts the mass density at 9.226 g/cm³. As for the crystal system: hexagonal.

It has space group P-62m (No. 189), with a = 7.8310 Å, b = 7.8310 Å, c = 4.9435 Å, α = 90.00°, β = 90.00° and γ = 120.00°. Symmetry generates all atoms from Pm at (0.0000, 0.5950, 0.0000), Nd at (0.0000, 0.2636, 0.5000), Au at (0.0000, 0.0000, 0.0000) and Au at (0.3333, 0.6667, 0.5000).

---

Arrangement ii

The following is a DFT calculation (PBE) of a geometry-optimized PmNdAu structure.

The calculation puts the mass density at 9.468 g/cm³. As for the crystal system: hexagonal.

It has space group P-62c (No. 190), with a = 8.6122 Å, b = 8.6122 Å, c = 7.9649 Å, α = 90.00°, β = 90.00° and γ = 120.00°. Symmetry generates all atoms from Pm at (0.0010, 0.5970, 0.2500), Nd at (0.0000, 0.2662, 0.0000), Au at (0.0000, 0.0000, 0.2500) and Au at (0.3333, 0.6667, 0.5019).

---

Arrangement iii

The following is a DFT calculation (PBE) of a geometry-optimized PmNdAu structure.

The calculation puts the mass density at 8.500 g/cm³. As for the crystal system: cubic.

It has space group F-43m (No. 216), with a = 7.243 Å, b = 7.243 Å, c = 7.243 Å, α = 90.00°, β = 90.00° and γ = 90.00°. Symmetry generates all atoms from Pm at (0.000, 0.000, 0.000), Nd at (0.000, 0.000, 0.500) and Au at (0.250, 0.250, 0.250).

---

Most stable: arrangement i